Computed, not measured: a relaxed structure of ReAg2Rh at the PBE level of DFT.

Cell lengths 9.663, 9.663, 9.663 Å; angles 16.54, 16.54, 16.54 degrees
Site moments in Bohr magnetons follow the coordinates.
Sites, in units of the cell vectors:
Ag 0.749 0.749 0.749  0.01
Rh 0.000 0.000 0.000  0.37
Ag 0.251 0.251 0.251  0.01
Re 0.500 0.500 0.500  0.36

## Properties
- Calculated density: 13.15 Mg/m³
- Symmetry: R-3m (166)
- Formation energy: 0.481 eV per atom
- Magnetic moment: 0.80 μB per formula unit
- Energy: -5.8945 eV per atom



Computed, not measured: a relaxed structure of ReAg2Rh at the PBE level of DFT.

Cell lengths 2.678, 2.678, 8.909 Å; angles 90.00, 90.00, 90.00 degrees
Site moments in Bohr magnetons follow the coordinates.
Sites, in units of the cell vectors:
Re 0.500 0.500 0.000  0.01
Rh 0.500 0.500 0.500  0.36
Ag 0.000 0.000 0.746  0.01
Ag 0.000 0.000 0.254  0.01

## Properties
- Calculated density: 13.12 Mg/m³
- Symmetry: P4/mmm (123)
- Formation energy: 0.570 eV per atom
- Magnetic moment: 0.38 μB per formula unit
- Energy: -5.8055 eV per atom



Computed, not measured: a relaxed structure of Re3AgRh at the PBE level of DFT.

Cell lengths 4.675, 4.675, 4.675 Å; angles 90.00, 90.00, 90.00 degrees
Site moments in Bohr magnetons follow the coordinates.
Sites, in units of the cell vectors:
Re 0.000 0.500 0.000  0.10
Re 0.000 0.000 0.500  0.09
Ag 0.500 0.500 0.500  0.01
Re 0.500 0.000 0.000  0.18
Rh 0.000 0.000 0.000  -0.02

## Properties
- Calculated density: 12.50 Mg/m³
- Symmetry: Pm-3m (221)
- Formation energy: 2.335 eV per atom
- Magnetic moment: 0.39 μB per formula unit
- Energy: -7.1744 eV per atom



Computed, not measured: a relaxed structure of ReAg2Rh at the PBE level of DFT.

Cell lengths 2.765, 3.953, 5.895 Å; angles 90.00, 90.00, 90.00 degrees
Sites, in units of the cell vectors:
Rh 0.500 0.500 0.714
Ag 0.000 0.000 0.004
Ag 0.500 0.500 0.249
Re 0.000 0.000 0.533

## Properties
- Calculated density: 13.01 Mg/m³
- Symmetry: Pmm2 (25)
- Formation energy: 0.323 eV per atom
- Magnetic moment: 0.00 μB per formula unit
- Energy: -6.0526 eV per atom



Computed, not measured: a relaxed structure of ReAg2Rh at the PBE level of DFT.

Cell lengths 5.179, 5.179, 5.179 Å; angles 136.70, 136.70, 62.90 degrees
Site moments in Bohr magnetons follow the coordinates.
Sites, in units of the cell vectors:
Ag 0.750 0.250 0.500  0.06
Ag 0.250 0.750 0.500  0.06
Re 0.500 0.500 0.000  1.44
Rh 0.000 0.000 0.000  0.34

## Properties
- Calculated density: 12.99 Mg/m³
- Symmetry: I4/mmm (139)
- Formation energy: 0.694 eV per atom
- Magnetic moment: 2.04 μB per formula unit
- Energy: -5.6820 eV per atom



Computed, not measured: a relaxed structure of ReAg2Rh at the PBE level of DFT.

Cell lengths 3.775, 3.775, 4.509 Å; angles 90.00, 90.00, 90.00 degrees
Sites, in units of the cell vectors:
Rh 0.000 0.000 0.500
Re 0.500 0.500 0.500
Ag 0.000 0.500 0.000
Ag 0.500 0.000 0.000

## Properties
- Calculated density: 13.04 Mg/m³
- Symmetry: P4/mmm (123)
- Formation energy: 0.726 eV per atom
- Magnetic moment: 0.01 μB per formula unit
- Energy: -5.6495 eV per atom



Computed, not measured: a relaxed structure of Re2AgRh2 at the PBE level of DFT.

Cell lengths 7.683, 7.683, 2.718 Å; angles 90.00, 90.00, 90.00 degrees
Sites, in units of the cell vectors:
Ag 0.500 0.500 0.000
Re 0.619 0.119 0.000
Rh 0.170 0.670 0.500
Rh 0.330 0.170 0.500
Rh 0.830 0.330 0.500
Re 0.119 0.381 0.000
Re 0.881 0.619 0.000
Re 0.381 0.881 0.000
Rh 0.670 0.830 0.500
Ag 0.000 0.000 0.000

## Properties
- Calculated density: 14.21 Mg/m³
- Symmetry: P4/mbm (127)
- Formation energy: 0.230 eV per atom
- Magnetic moment: 0.00 μB per formula unit
- Energy: -8.2605 eV per atom



Computed, not measured: a relaxed structure of Re2AgRh at the PBE level of DFT.

Cell lengths 2.718, 3.977, 5.667 Å; angles 90.00, 90.00, 90.00 degrees
Sites, in units of the cell vectors:
Ag 0.500 0.500 0.745
Re 0.000 0.000 0.021
Rh 0.000 0.000 0.490
Re 0.500 0.500 0.243

## Properties
- Calculated density: 15.81 Mg/m³
- Symmetry: Pmm2 (25)
- Formation energy: 0.305 eV per atom
- Magnetic moment: 0.00 μB per formula unit
- Energy: -8.4701 eV per atom



Computed, not measured: a relaxed structure of Re2AgRh at the PBE level of DFT.

Cell lengths 2.702, 4.126, 5.498 Å; angles 90.00, 90.00, 90.00 degrees
Sites, in units of the cell vectors:
Re 0.000 0.000 0.772
Ag 0.500 0.500 0.500
Re 0.000 0.000 0.228
Rh 0.500 0.500 0.000

## Properties
- Calculated density: 15.80 Mg/m³
- Symmetry: Pmmm (47)
- Formation energy: 0.425 eV per atom
- Magnetic moment: 0.00 μB per formula unit
- Energy: -8.3495 eV per atom



Computed, not measured: a relaxed structure of Re2AgRh at the PBE level of DFT.

Cell lengths 4.924, 4.924, 4.750 Å; angles 79.97, 79.97, 32.57 degrees
Sites, in units of the cell vectors:
Rh 0.500 0.500 0.000
Ag 0.000 0.000 0.500
Re 0.240 0.240 0.761
Re 0.760 0.760 0.239

## Properties
- Calculated density: 15.89 Mg/m³
- Symmetry: C2/m (12)
- Formation energy: 0.358 eV per atom
- Magnetic moment: 0.00 μB per formula unit
- Energy: -8.4171 eV per atom